Record 1
Compound: SrNd2Sn
Source: Alexandria via LeMat-Bulk
Functional: PBE-GGA
Structure: optimized geometry

Its crystal system is tetragonal. Its energy above the most stable polymorph in this dataset is 0 meV/atom. As for the formation energy: -0.32 eV per atom.

Cell lengths 5.0121, 5.0946, 5.0946 Å; angles 90.00, 90.00, 90.00 degrees
Closest atoms and distances in Å follow each position.
Sites, in units of the cell vectors:
Sr 0.5000 0.0000 0.0000  8 Nd 3.57, 4 Sn 3.60
Nd 0.0000 0.0000 0.5000  4 Sn 3.57, 4 Sr 3.57, 4 Nd 3.60
Nd 0.0000 0.5000 0.0000  4 Sn 3.57, 4 Sr 3.57, 4 Nd 3.60
Sn 0.5000 0.5000 0.5000  8 Nd 3.57, 4 Sr 3.60



Record 2
Compound: Fe2AsBr
Source: Alexandria via LeMat-Bulk
Functional: PBE-GGA
Structure: optimized geometry

Its crystal system is cubic. The value obtained for the formation energy without anion corrections is 0.8868 eV per atom. Its energy above the most stable polymorph in this dataset is 862 meV/atom.

Cell lengths 4.5800, 4.5800, 4.5800 Å; angles 60.00, 60.00, 60.00 degrees
Closest atoms and distances in Å follow each position.
Sites, in units of the cell vectors:
As 0.5000 0.5000 0.5000  4 Fe 2.80, 4 Br 2.80
Br 0.7500 0.7500 0.7500  4 As 2.80, 4 Fe 2.80
Fe 0.0000 0.0000 0.0000  4 Br 2.80, 4 Fe 2.80
Fe 0.2500 0.2500 0.2500  4 As 2.80, 4 Fe 2.80



Record 3
Compound: KNaSr2
Source: Alexandria via LeMat-Bulk
Functional: PBE-GGA
Structure: optimized geometry

Its crystal system is tetragonal. As for the formation energy: 0.08 eV per atom.

Cell lengths 4.4621, 4.4621, 10.9262 Å; angles 90.00, 90.00, 90.00 degrees
Closest atoms and distances in Å follow each position.
Sites, in units of the cell vectors:
Sr 0.0000 0.0000 0.7948  4 Na 3.87
Sr 0.0000 0.0000 0.2052  4 Na 3.87
K 0.5000 0.5000 0.5000  4 K 4.46, 8 Sr 4.51
Na 0.5000 0.5000 0.0000  8 Sr 3.87



Record 4
Compound: ReAsRu2
Source: Alexandria via LeMat-Bulk
Functional: PBE-GGA
Structure: optimized geometry

Its crystal system is monoclinic. As for the formation energy: 0.11 eV per atom.

Cell lengths 4.0311, 2.8175, 5.3440 Å; angles 72.83, 90.00, 90.00 degrees
Closest atoms and distances in Å follow each position.
Sites, in units of the cell vectors:
Re 0.5000 0.7500 0.7500  2 As 2.63, 8 Ru 2.77-2.80, 2 Re 2.82
As 0.5000 0.2500 0.2500  4 Ru 2.49, 2 Re 2.63
Ru 0.0000 0.1189 0.0055  2 As 2.49, 1 Ru 2.61, 2 Re 2.77
Ru 0.0000 0.3811 0.4945  2 As 2.49, 1 Ru 2.61, 2 Re 2.77



Record 5
Compound: Hf2TiCdB
Source: Alexandria via LeMat-Bulk
Functional: PBE-GGA
Structure: optimized geometry

Its crystal system is tetragonal. As for the formation energy: -0.24 eV per atom.

Cell lengths 4.5902, 4.5902, 4.3757 Å; angles 90.00, 90.00, 90.00 degrees
Closest atoms and distances in Å follow each position.
Sites, in units of the cell vectors:
B 0.0000 0.0000 0.0000  2 Ti 2.19, 4 Hf 2.30
Ti 0.0000 0.0000 0.5000  2 B 2.19
Hf 0.0000 0.5000 0.0000  2 B 2.30
Hf 0.5000 0.0000 0.0000  2 B 2.30
Cd 0.5000 0.5000 0.5000  8 Hf 3.17, 4 Ti 3.25



Record 6
Compound: SmTm2Sb2
Source: Alexandria via LeMat-Bulk
Functional: PBE-GGA
Structure: optimized geometry

Its crystal system is monoclinic. The value obtained for the formation energy without anion corrections is -0.6208 eV per atom.

Cell lengths 7.9054, 7.9054, 6.0164 Å; angles 111.25, 111.25, 97.96 degrees
Closest atoms and distances in Å follow each position.
Sites, in units of the cell vectors:
Sm 0.8998 0.6002 0.7500  4 Sb 3.16-3.35
Sm 0.1002 0.3998 0.2500  4 Sb 3.16-3.35
Tm 0.2258 0.9136 0.5156  4 Sb 2.96-3.13, 1 Tm 3.21
Tm 0.4136 0.7258 0.0156  4 Sb 2.96-3.13, 1 Tm 3.21
Tm 0.7742 0.0864 0.4844  4 Sb 2.96-3.13, 1 Tm 3.21
Tm 0.5864 0.2742 0.9844  4 Sb 2.96-3.13, 1 Tm 3.21
Sb 0.1807 0.3193 0.7500  4 Tm 2.96-3.13, 2 Sm 3.16
Sb 0.3737 0.1263 0.2500  4 Tm 3.08, 1 Sm 3.26
Sb 0.6263 0.8737 0.7500  4 Tm 3.08, 1 Sm 3.26
Sb 0.8193 0.6807 0.2500  4 Tm 2.96-3.13, 2 Sm 3.16